Entry 1:
An optimized crystal structure of TbTmCu2As4, computed with GGA-PBE.

a b c (Å): 3.8997 3.8997 9.8019
angles (deg): 90.00 90.00 90.00
Closest atoms and distances in Å follow each position.
Atoms (fractional coordinates):
Tb 0.0000 0.0000 0.0000  8 As 2.94-3.05, 4 Cu 3.25
Tm 0.5000 0.5000 0.5270  8 As 2.93-3.01, 4 Cu 3.22
Cu 0.0000 0.5000 0.2653  4 As 2.51-2.52, 4 Cu 2.76
Cu 0.5000 0.0000 0.2653  4 As 2.51-2.52, 4 Cu 2.76
As 0.0000 0.0000 0.4274  4 Cu 2.52
As 0.0000 0.5000 0.7611  4 As 2.76, 2 Tm 3.01, 2 Tb 3.05
As 0.5000 0.0000 0.7611  4 As 2.76, 2 Tm 3.01, 2 Tb 3.05
As 0.5000 0.5000 0.1038  4 Cu 2.51

Output
**Total energy**: -41.6 eV for the cell shown
**Crystal system**: tetragonal

***

Entry 2:
An optimized crystal structure of Zr2Sc2O5, computed with GGA-PBE.

a b c (Å): 4.1106 4.1106 7.3288
angles (deg): 90.00 90.00 90.00
Closest atoms and distances in Å follow each position.
Atoms (fractional coordinates):
Zr 0.0000 0.0000 0.2144  5 O 2.06-2.09
Zr 0.0000 0.0000 0.7856  5 O 2.06-2.09
Sc 0.5000 0.5000 0.0000  8 O 2.52
Sc 0.5000 0.5000 0.5000  12 O 2.91-3.02
O 0.0000 0.0000 0.5000  2 Zr 2.09
O 0.0000 0.5000 0.1981  2 Zr 2.06
O 0.0000 0.5000 0.8019  2 Zr 2.06
O 0.5000 0.0000 0.1981  2 Zr 2.06
O 0.5000 0.0000 0.8019  2 Zr 2.06

Output
**Total energy**: -76.1 eV for the cell shown
**Crystal system**: tetragonal
**ΔE to the lowest computed polymorph**: 306 meV/atom

***

Entry 3:
An optimized crystal structure of Ba2CoTcS6, computed with GGA-PBE.

a b c (Å): 6.0122 6.0140 7.5114
angles (deg): 113.39 113.45 90.02
Closest atoms and distances in Å follow each position.
Atoms (fractional coordinates):
Ba 0.2502 0.2493 0.4990  8 S 3.07-3.33
Ba 0.7498 0.7507 0.5010  8 S 3.07-3.33
Co 0.5000 0.0000 0.0000  4 S 2.23
Tc 0.0000 0.5000 0.0000  6 S 2.42-2.47
S 0.1512 0.8728 0.9992  1 Co 2.23, 1 S 2.38, 1 Tc 2.42
S 0.1981 0.6987 0.3976  1 Tc 2.47
S 0.3738 0.3492 0.0006  1 Co 2.23, 1 S 2.37, 1 Tc 2.42
S 0.6262 0.6508 0.9994  1 Co 2.23, 1 S 2.37, 1 Tc 2.42
S 0.8019 0.3013 0.6024  1 Tc 2.47
S 0.8488 0.1272 0.0008  1 Co 2.23, 1 S 2.38, 1 Tc 2.42

Output
**Total energy**: -54.9 eV for the cell shown
**Crystal system**: triclinic
**ΔE to the lowest computed polymorph**: 0 meV/atom

***

- Which of these has the lowest total energy?
  Zr2Sc2O5